Compound: Na2PaPdSe4
Source: Alexandria
Functional: PBE
Structure: optimized geometry

```
Na2PaPdSe4
1.0
4.237 0.000 0.000
0.000 6.356 -0.012
0.000 -2.326 7.170
Na Pa Pd Se
2 1 1 4
Direct
0.500 0.000 0.500
0.000 0.500 0.500
0.500 0.500 0.000
0.000 0.000 0.000
0.500 0.248 0.230
0.500 0.752 0.770
0.000 0.245 0.781
0.000 0.755 0.219
```

For the uncorrected formation energy, the calculation gives -1.0313 eV per atom.